[1]
8
Lattice="-0.161 -2.799 7.318 1.688 -7.160 -2.701 3.604 -4.415 2.587" Properties=species:S:1:pos:R:3 comment="GGA-PBE ScZnCd2, relaxed" final_energy_ha_per_atom=-0.0852 mass_density_g_cm3=6.230 pbc="T T T"
Sc 0.763 -4.979 2.308
Sc 3.028 -8.277 1.097
Cd 1.006 -3.845 5.136
Cd 3.217 -6.797 3.765
Cd 1.941 -5.831 -0.381
Cd 4.098 -12.273 5.886
Zn 0.000 0.000 0.000
Zn 2.103 -6.096 6.106

[2]
12
Lattice="4.533 -0.027 1.508 0.036 6.775 0.012 -0.007 -0.013 7.566" Properties=species:S:1:pos:R:3 comment="GGA-PBE Sc6Zn5Cd, relaxed" final_energy_ha_per_atom=-0.1516 mass_density_g_cm3=5.067 pbc="T T T"
Zn 1.531 3.374 3.017
Zn 0.018 3.387 0.006
Zn 3.030 3.360 6.069
Zn 1.515 -0.013 3.003
Zn 3.010 -0.027 6.071
Sc 0.778 1.712 5.244
Sc 3.784 5.022 3.842
Sc 2.293 4.999 0.763
Sc 0.796 5.036 5.250
Sc 2.276 1.749 0.757
Sc 3.766 1.698 3.836
Cd 0.000 0.000 0.000

[3]
14
Lattice="6.005 0.637 -0.312 2.510 5.493 -0.312 2.564 1.846 10.179" Properties=species:S:1:pos:R:3 comment="GGA-PBE Sc5ZnCd, relaxed" final_energy_ha_per_atom=-0.1753 mass_density_g_cm3=4.109 pbc="T T T"
Sc 6.943 3.391 7.322
Sc 7.766 6.411 6.228
Sc 7.578 6.183 9.215
Sc 3.313 1.565 3.326
Sc 4.094 3.675 5.429
Sc 6.985 4.302 4.125
Sc 3.501 1.793 0.340
Sc 3.817 3.569 8.416
Sc 7.262 4.408 1.138
Sc 4.136 4.586 2.232
Zn 1.282 0.923 5.090
Zn 0.000 0.000 0.000
Cd 5.135 5.902 7.322
Cd 5.944 2.074 2.232

[4]
10
Lattice="7.635 0.000 0.000 0.000 7.635 0.000 0.000 0.000 3.978" Properties=species:S:1:pos:R:3 comment="GGA-PBE Sc2ZnCd2, relaxed" mass_density_g_cm3=5.444 polymorph_energy_ev_per_fu=1.09 pbc="T T T"
Cd 6.513 2.696 1.989
Cd 2.696 1.121 1.989
Cd 4.939 6.513 1.989
Cd 1.121 4.939 1.989
Zn 0.000 0.000 0.000
Zn 3.817 3.817 0.000
Sc 1.166 2.651 0.000
Sc 6.469 4.983 0.000
Sc 4.983 1.166 0.000
Sc 2.651 6.469 0.000

[5]
12
Lattice="5.456 -0.813 0.000 -1.024 5.421 0.000 -2.216 -2.304 7.790" Properties=species:S:1:pos:R:3 comment="GGA-PBE Sc2Zn3Cd, relaxed" mass_density_g_cm3=5.911 polymorph_energy_ev_per_fu=0.00 pbc="T T T"
Sc 1.096 1.139 0.000
Sc 3.336 3.469 0.000
Sc 2.728 -0.407 3.895
Sc -0.512 2.710 3.895
Zn 1.663 -1.599 6.527
Zn 2.216 2.304 5.262
Zn 3.879 0.704 1.264
Zn 0.000 0.000 2.528
Zn -1.663 1.599 6.527
Zn 0.553 3.903 1.264
Cd 0.000 0.000 5.202
Cd 2.216 2.304 2.589

[6]
4
Lattice="-2.307 2.333 -4.059 -2.459 -0.753 -4.542 -5.020 0.099 0.953" Properties=species:S:1:pos:R:3 comment="GGA-PBE ScZn2Cd, relaxed" final_energy_ha_per_atom=-0.0942 mass_density_g_cm3=6.329 pbc="T T T"
Cd -5.019 0.822 -3.672
Zn -0.134 0.029 -0.145
Zn -7.181 1.230 -5.600
Sc -2.346 0.437 -2.055

[7]
24
Lattice="3.487 0.000 0.000 0.000 11.540 -4.877 0.000 0.050 12.528" Properties=species:S:1:pos:R:3 comment="GGA-PBE Sc11Zn4Cd9, relaxed" final_energy_ha_per_atom=-0.1378 mass_density_g_cm3=5.814 pbc="T T T"
Sc 0.000 4.779 -1.116
Sc 0.000 0.851 4.833
Sc 0.000 7.384 1.418
Sc 0.000 8.228 5.431
Sc 0.000 10.739 2.818
Sc 0.000 9.674 -2.051
Sc 0.000 4.206 6.233
Sc 0.000 3.362 2.220
Sc 0.000 1.916 9.702
Sc 0.000 0.000 0.000
Sc 0.000 6.811 8.767
Cd 1.743 9.822 0.482
Cd 1.743 0.748 2.360
Cd 1.743 1.768 7.169
Cd 1.743 2.464 -0.239
Cd 1.743 5.795 3.825
Cd 1.743 9.126 7.890
Cd 1.743 10.842 5.291
Cd 1.743 7.287 -1.192
Cd 1.743 4.303 8.843
Zn 1.743 6.375 6.636
Zn 1.743 2.983 4.397
Zn 1.743 5.215 1.015
Zn 1.743 8.607 3.254

[8]
9
Lattice="4.575 0.000 0.001 2.287 4.710 1.019 -0.002 1.474 8.603" Properties=species:S:1:pos:R:3 comment="GGA-PBE Sc4Zn3Cd2, relaxed" final_energy_ha_per_atom=-0.1357 mass_density_g_cm3=5.590 pbc="T T T"
Zn 2.286 1.935 4.082
Zn 4.573 4.250 5.541
Zn 0.000 0.000 0.000
Cd 2.286 3.084 6.800
Cd 4.574 3.101 2.823
Sc 4.573 4.625 8.353
Sc 2.286 4.732 3.918
Sc 2.287 1.560 1.270
Sc 4.574 1.453 5.705

[9]
5
Lattice="5.274 0.000 0.000 0.000 5.274 0.000 0.000 0.000 5.274" Properties=species:S:1:pos:R:3 comment="GGA-PBE Sc3ZnCd, relaxed" mass_density_g_cm3=3.540 polymorph_energy_ev_per_fu=4.25 pbc="T T T"
Cd 0.000 0.000 0.000
Sc 0.000 0.000 2.637
Sc 2.637 0.000 0.000
Sc 0.000 2.637 0.000
Zn 2.637 2.637 2.637

[10]
10
Lattice="-4.162 -1.773 -0.099 0.984 -2.094 -3.878 1.413 -9.391 5.430" Properties=species:S:1:pos:R:3 comment="GGA-PBE ZrScCd3, relaxed" mass_density_g_cm3=7.189 polymorph_energy_ev_per_fu=0.00 pbc="T T T"
Cd -0.045 -9.627 3.873
Cd 1.138 -6.403 -0.198
Cd -1.439 -6.232 1.685
Cd -2.845 -2.811 -0.519
Cd -0.257 -3.008 -2.385
Cd -1.618 -11.597 1.907
Sc -0.249 -8.979 0.842
Sc -0.053 -3.655 0.646
Zr -2.813 -8.839 2.745
Zr -1.650 -5.568 -1.356

[11]
20
Lattice="-1.366 4.101 1.298 -8.641 -3.579 2.211 3.753 -1.650 9.160" Properties=species:S:1:pos:R:3 comment="GGA-PBE Zr3ScCd6, relaxed" final_energy_ha_per_atom=-0.1421 mass_density_g_cm3=7.592 pbc="T T T"
Cd -6.533 -2.532 5.046
Cd 0.279 1.405 7.623
Cd -5.657 -0.464 7.281
Cd -2.910 1.358 4.417
Cd -0.598 -0.663 5.389
Cd 2.589 -0.633 8.648
Cd -3.846 -0.737 2.203
Cd -3.344 -2.485 8.252
Cd -8.843 -0.494 4.022
Cd -5.364 -1.313 10.272
Cd -0.891 0.186 2.398
Cd -2.408 -0.390 10.467
Zr -3.563 -1.608 5.252
Zr -6.788 -1.683 2.095
Zr -0.420 -1.543 8.355
Zr -2.691 0.481 7.417
Zr 0.534 0.556 10.575
Zr -5.834 0.416 4.314
Sc -6.267 -3.369 7.969
Sc 0.013 2.242 4.700

[12]
10
Lattice="8.118 0.000 0.000 0.000 8.118 0.000 0.000 0.000 3.510" Properties=species:S:1:pos:R:3 comment="GGA-PBE Zr2ScCd2, relaxed" mass_density_g_cm3=6.493 polymorph_energy_ev_per_fu=0.88 pbc="T T T"
Cd 1.041 3.018 0.000
Cd 7.077 5.100 0.000
Cd 3.018 7.077 0.000
Cd 5.100 1.041 0.000
Zr 2.669 1.390 1.755
Zr 6.728 2.669 1.755
Zr 1.390 5.449 1.755
Zr 5.449 6.728 1.755
Sc 0.000 0.000 0.000
Sc 4.059 4.059 0.000